First-principles (GGA-PBE) data for ThBeGaRh3 after structural relaxation, as listed in Alexandria.

Values from the calculation:
DFT formation energy = -0.621 eV per atom
total DFT energy (no corrections) = -6.659 eV per atom

The structure in POSCAR format:
```
ThBeGaRh3
1.0
5.923 0.000 0.000
0.000 5.822 0.000
0.000 -2.911 5.918
Th Be Ga Rh
2 2 2 6
direct
0.750 0.286 0.571 Th
0.250 0.714 0.429 Th
0.250 0.970 0.941 Be
0.750 0.030 0.059 Be
0.250 0.372 0.745 Ga
0.750 0.628 0.255 Ga
0.250 0.170 0.339 Rh
0.000 0.263 0.000 Rh
0.500 0.737 0.000 Rh
0.500 0.263 0.000 Rh
0.000 0.737 0.000 Rh
0.750 0.830 0.661 Rh
```


First-principles (GGA-PBE) data for Ti2Be2GaRh5 after structural relaxation, as listed in Alexandria.

Values from the calculation:
DFT formation energy = -0.736 eV per atom
total DFT energy (no corrections) = -7.039 eV per atom

The structure in POSCAR format:
```
Ti2Be2GaRh5
1.0
-1.516 2.672 -0.186
-7.886 -4.317 2.249
1.692 1.583 8.973
Ti Be Ga Rh
4 4 2 10
direct
0.000 0.674 0.174 Ti
0.000 0.326 0.826 Ti
0.000 0.174 0.326 Ti
0.000 0.826 0.674 Ti
0.000 0.124 0.624 Be
0.000 0.876 0.376 Be
0.000 0.624 0.876 Be
0.000 0.376 0.124 Be
0.000 0.000 0.000 Ga
0.000 0.500 0.500 Ga
0.500 0.208 0.073 Rh
0.500 0.792 0.927 Rh
0.500 0.073 0.792 Rh
0.500 0.708 0.427 Rh
0.500 0.927 0.208 Rh
0.500 0.292 0.573 Rh
0.500 0.573 0.708 Rh
0.500 0.427 0.292 Rh
0.500 0.500 0.000 Rh
0.500 0.000 0.500 Rh
```


First-principles (GGA-PBE) data for Tm2Be2GaRh5 after structural relaxation, as listed in Alexandria.

Values from the calculation:
DFT formation energy = -0.858 eV per atom
total DFT energy (no corrections) = -6.476 eV per atom

The structure in POSCAR format:
```
Tm2Be2GaRh5
1.0
-0.398 -0.913 -3.019
9.477 0.583 -1.425
0.963 -9.179 2.647
Tm Be Ga Rh
4 4 2 10
direct
0.000 0.676 0.176 Tm
0.000 0.324 0.824 Tm
0.000 0.176 0.324 Tm
0.000 0.824 0.676 Tm
0.000 0.123 0.623 Be
0.000 0.877 0.377 Be
0.000 0.623 0.877 Be
0.000 0.377 0.123 Be
0.000 0.000 0.000 Ga
0.000 0.500 0.500 Ga
0.500 0.210 0.067 Rh
0.500 0.790 0.933 Rh
0.500 0.067 0.790 Rh
0.500 0.710 0.433 Rh
0.500 0.933 0.210 Rh
0.500 0.290 0.567 Rh
0.500 0.567 0.710 Rh
0.500 0.433 0.290 Rh
0.500 0.500 0.000 Rh
0.500 0.000 0.500 Rh
```


First-principles (GGA-PBE) data for Y2Be2GaRh5 after structural relaxation, as listed in Alexandria.

Values from the calculation:
DFT formation energy = -0.798 eV per atom
total DFT energy (no corrections) = -6.815 eV per atom

The structure in POSCAR format:
```
Y2Be2GaRh5
1.0
3.211 0.000 0.000
0.000 9.661 0.000
0.000 0.000 9.661
Y Be Ga Rh
4 4 2 10
direct
0.000 0.677 0.177 Y
0.000 0.323 0.823 Y
0.000 0.177 0.323 Y
0.000 0.823 0.677 Y
0.000 0.122 0.622 Be
0.000 0.878 0.378 Be
0.000 0.622 0.878 Be
0.000 0.378 0.122 Be
0.000 0.000 0.000 Ga
0.000 0.500 0.500 Ga
0.500 0.211 0.066 Rh
0.500 0.789 0.934 Rh
0.500 0.066 0.789 Rh
0.500 0.711 0.434 Rh
0.500 0.934 0.211 Rh
0.500 0.289 0.566 Rh
0.500 0.566 0.711 Rh
0.500 0.434 0.289 Rh
0.500 0.500 0.000 Rh
0.500 0.000 0.500 Rh
```


What DOS(E_F) values result from the calculations? In sequence: 2.76 8.19 8.62 10.32 states/eV/cell.
What magnetic moment values result from the calculations? In sequence: 0.00 0.00 0.00 0.00 μB per cell.